Compound: OsRhO2
Source: Alexandria via LeMat-Bulk
Functional: PBE
Structure: optimized geometry

Computed properties:
Its energy above the most stable polymorph in this dataset is 264 meV per atom. The space group is I-42d (122). For the density of states at the Fermi level, the calculation gives 0.614 states/eV/atom. The value obtained for the formation energy without anion corrections is -0.9 kJ/mol of atoms.

abc: 6.9650 6.9650 6.9650
angles: 148.07 148.07 45.78
Fractional positions:
Os1 0.0000 0.0000 0.0000
Os2 0.7500 0.2500 0.5000
Rh1 0.2500 0.7500 0.5000
Rh2 0.5000 0.5000 0.0000
O1 0.0954 0.6250 0.9704
O2 0.3750 0.3454 0.4704
O3 0.6546 0.1250 0.0296
O4 0.8750 0.9046 0.5296